Compound: La3TbZn4
Source: Alexandria
Functional: PBE-GGA
Structure: optimized geometry

a b c (Å): 3.7098 3.7098 14.9200
angles (deg): 90.00 90.00 90.00
Sites, in units of the cell vectors:
1 Zn 0.0000 0.0000 0.8896
2 Zn 0.0000 0.0000 0.1104
3 Zn 0.0000 0.0000 0.3733
4 Zn 0.0000 0.0000 0.6267
5 Tb 0.5000 0.5000 0.0000
6 La 0.5000 0.5000 0.2433
7 La 0.5000 0.5000 0.5000
8 La 0.5000 0.5000 0.7567

Calculated values
crystal system	tetragonal
space group	P4/mmm
calculated volume	205	Å³ per cell
calculated total energy	-3.38	eV per atom

Compound: La3TbZn
Source: Alexandria
Functional: PBE-GGA
Structure: optimized geometry

a b c (Å): 3.7873 8.8931 11.0532
angles (deg): 90.00 90.00 115.08
Sites, in units of the cell vectors:
1 La 0.9926 0.7446 0.4718
2 La 0.0074 0.2554 0.5282
3 La 0.9926 0.7446 0.0282
4 La 0.0074 0.2554 0.9718
5 La 0.3964 0.6465 0.7500
6 La 0.6036 0.3535 0.2500
7 Tb 0.2542 0.0021 0.7500
8 Tb 0.7458 0.9979 0.2500
9 Zn 0.6054 0.3539 0.7500
10 Zn 0.3946 0.6461 0.2500

Calculated values
crystal system	monoclinic
space group	P2_1/m
calculated volume	337	Å³ per cell
E above lowest polymorph	121.7	meV per atom

Compound: La5TbZn4
Source: Alexandria
Functional: PBE-GGA
Structure: optimized geometry

a b c (Å): 3.7611 3.7611 20.0166
angles (deg): 90.00 90.00 90.00
Sites, in units of the cell vectors:
1 La 0.5000 0.5000 0.1264
2 La 0.5000 0.5000 0.3126
3 La 0.5000 0.5000 0.5000
4 La 0.5000 0.5000 0.6874
5 La 0.5000 0.5000 0.8736
6 Tb 0.0000 0.0000 0.0000
7 Zn 0.0000 0.0000 0.2175
8 Zn 0.0000 0.0000 0.4065
9 Zn 0.0000 0.0000 0.5935
10 Zn 0.0000 0.0000 0.7825

Calculated values
crystal system	tetragonal
space group	P4/mmm
calculated volume	283	Å³ per cell
calculated total energy	-3.68	eV per atom

Compound: La2TbZn3
Source: Alexandria
Functional: PBE-GGA
Structure: optimized geometry

a b c (Å): 5.2341 5.2341 6.4299
angles (deg): 90.00 90.00 120.00
Sites, in units of the cell vectors:
1 La 0.6667 0.3333 0.3257
2 La 0.3333 0.6667 0.6743
3 Tb 0.0000 0.0000 0.0000
4 Zn 0.0000 0.0000 0.5000
5 Zn 0.6667 0.3333 0.8392
6 Zn 0.3333 0.6667 0.1608

Calculated values
crystal system	trigonal
space group	P-3m1
calculated volume	153	Å³ per cell
E above lowest polymorph	2.5	meV per atom

Compound: La12TbZn6
Source: Alexandria
Functional: PBE-GGA
Structure: optimized geometry

a b c (Å): 8.2241 8.2241 8.2241
angles (deg): 87.26 87.26 87.26
Sites, in units of the cell vectors:
1 La 0.8146 0.5475 0.4297
2 La 0.4297 0.8146 0.5475
3 La 0.5475 0.4297 0.8146
4 La 0.1854 0.4525 0.5703
5 La 0.5703 0.1854 0.4525
6 La 0.4525 0.5703 0.1854
7 La 0.0261 0.1640 0.3936
8 La 0.8360 0.6064 0.9739
9 La 0.6064 0.9739 0.8360
10 La 0.9739 0.8360 0.6064
11 La 0.1640 0.3936 0.0261
12 La 0.3936 0.0261 0.1640
13 Tb 0.0000 0.0000 0.0000
14 Zn 0.7460 0.8923 0.2556
15 Zn 0.7444 0.2540 0.1077
16 Zn 0.1077 0.7444 0.2540
17 Zn 0.2540 0.1077 0.7444
18 Zn 0.2556 0.7460 0.8923
19 Zn 0.8923 0.2556 0.7460

Calculated values
crystal system	trigonal
space group	R-3
calculated volume	554	Å³ per cell
calculated total energy	-3.85	eV per atom

Compound: LaTb2Zn6
Source: Alexandria
Functional: PBE-GGA
Structure: optimized geometry

a b c (Å): 3.5591 7.8776 7.8770
angles (deg): 120.00 89.99 90.00
Sites, in units of the cell vectors:
1 La 0.0000 0.0000 0.0000
2 Tb 0.0003 0.3333 0.6666
3 Tb 0.9997 0.6667 0.3334
4 Zn 0.5001 0.3383 0.3383
5 Zn 0.4999 0.6617 0.6617
6 Zn 0.4999 0.0001 0.6617
7 Zn 0.5000 0.6617 0.0000
8 Zn 0.5000 0.3383 0.0000
9 Zn 0.5001 0.9999 0.3383

Calculated values
crystal system	hexagonal
space group	P6/mmm
calculated volume	191	Å³ per cell
calculated total energy	-2.79	eV per atom

Compound: La2TbZn3
Source: Alexandria
Functional: PBE-GGA
Structure: optimized geometry

a b c (Å): 3.6883 3.6883 11.1816
angles (deg): 90.00 90.00 90.00
Sites, in units of the cell vectors:
1 La 0.5000 0.5000 0.8270
2 La 0.5000 0.5000 0.1730
3 Tb 0.5000 0.5000 0.5000
4 Zn 0.0000 0.0000 0.0000
5 Zn 0.0000 0.0000 0.6490
6 Zn 0.0000 0.0000 0.3510

Calculated values
crystal system	tetragonal
space group	P4/mmm
calculated volume	152	Å³ per cell
E above lowest polymorph	0.0	meV per atom

Compound: LaTb3Zn4
Source: Alexandria
Functional: PBE-GGA
Structure: optimized geometry

a b c (Å): 5.1141 7.2948 10.2279
angles (deg): 90.00 90.00 90.00
Sites, in units of the cell vectors:
1 Zn 0.5000 0.7620 0.0000
2 Zn 0.5000 0.7620 0.5000
3 Zn 0.5000 0.2380 0.0000
4 Zn 0.5000 0.2380 0.5000
5 Zn 0.9995 0.7620 0.7500
6 Zn 0.0005 0.7620 0.2500
7 Zn 0.0005 0.2380 0.2500
8 Zn 0.9995 0.2380 0.7500
9 Tb 0.0000 0.0000 0.0000
10 Tb 0.0000 0.0000 0.5000
11 Tb 0.4996 0.0000 0.7500
12 Tb 0.5004 0.0000 0.2500
13 Tb 0.4995 0.5000 0.7500
14 Tb 0.5005 0.5000 0.2500
15 La 0.0000 0.5000 0.0000
16 La 0.0000 0.5000 0.5000

Calculated values
crystal system	tetragonal
space group	P4/mmm
calculated volume	382	Å³ per cell
calculated total energy	-3.31	eV per atom

Compound: La4Tb3Zn
Source: Alexandria
Functional: PBE-GGA
Structure: optimized geometry

a b c (Å): 3.7322 3.7322 18.8068
angles (deg): 90.00 90.00 90.00
Sites, in units of the cell vectors:
1 Zn 0.5000 0.5000 0.0000
2 Tb 0.5000 0.5000 0.2369
3 Tb 0.5000 0.5000 0.5000
4 Tb 0.5000 0.5000 0.7631
5 La 0.0000 0.0000 0.9011
6 La 0.0000 0.0000 0.0989
7 La 0.0000 0.0000 0.3674
8 La 0.0000 0.0000 0.6326

Calculated values
crystal system	tetragonal
space group	P4/mmm
calculated volume	262	Å³ per cell
calculated total energy	-4.42	eV per atom

Compound: LaTbZn
Source: Alexandria
Functional: PBE-GGA
Structure: optimized geometry

a b c (Å): 3.8935 5.0719 5.0719
angles (deg): 120.00 90.00 90.00
Sites, in units of the cell vectors:
1 Zn 0.1993 0.3333 0.6667
2 Tb 0.1420 0.0000 0.0000
3 La 0.6588 0.6667 0.3333

Calculated values
crystal system	trigonal
space group	P3m1
calculated volume	87	Å³ per cell
E above lowest polymorph	142.2	meV per atom

Compound: La2Tb3Zn3
Source: Alexandria
Functional: PBE-GGA
Structure: optimized geometry

a b c (Å): 3.6834 5.1549 11.5966
angles (deg): 102.84 99.14 90.00
Sites, in units of the cell vectors:
1 La 0.2739 0.7739 0.5477
2 La 0.7261 0.2261 0.4523
3 Tb 0.3874 0.3874 0.7749
4 Tb 0.6126 0.6126 0.2251
5 Tb 0.5000 0.0000 0.0000
6 Zn 0.8913 0.8913 0.7827
7 Zn 0.0000 0.5000 0.0000
8 Zn 0.1087 0.1087 0.2173

Calculated values
crystal system	orthorhombic
space group	Immm
calculated volume	212	Å³ per cell
calculated total energy	-3.66	eV per atom

Compound: La2TbZr
Source: Alexandria
Functional: PBE-GGA
Structure: optimized geometry

a b c (Å): 3.4308 3.4308 12.4000
angles (deg): 82.05 82.05 60.00
Sites, in units of the cell vectors:
1 Tb 0.5000 0.5000 0.5000
2 Zr 0.0000 0.0000 0.0000
3 La 0.0837 0.0837 0.7490
4 La 0.9163 0.9163 0.2510

Calculated values
crystal system	trigonal
space group	R-3m
calculated volume	125	Å³ per cell
E above lowest polymorph	182.4	meV per atom